Compound: Ce2Te2Br
Source: Alexandria via LeMat-Bulk
Functional: PBE
Structure: relaxed

a = 4.489 Å, b = 7.977 Å, c = 9.537 Å
α = 90.00°, β = 103.61°, γ = 90.00°
Element x y z (fractional)
1 Ce 0.441 0.450 0.882
2 Ce 0.807 0.966 0.615
3 Ce 0.193 0.466 0.385
4 Ce 0.559 0.950 0.118
5 Te 0.955 0.744 0.910
6 Te 0.808 0.392 0.616
7 Te 0.192 0.892 0.384
8 Te 0.045 0.244 0.090
9 Br 0.401 0.082 0.803
10 Br 0.599 0.582 0.197

Summary:
- E_form (uncorrected): -1.361 eV per atom


Compound: Ce4Te5Br
Source: Alexandria via LeMat-Bulk
Functional: PBE
Structure: relaxed

a = 4.486 Å, b = 8.923 Å, c = 10.120 Å
α = 105.26°, β = 102.80°, γ = 90.00°
Element x y z (fractional)
1 Ce 0.326 0.892 0.652
2 Ce 0.998 0.741 0.997
3 Ce 0.674 0.108 0.348
4 Ce 0.002 0.259 0.003
5 Te 0.837 0.660 0.674
6 Te 0.837 0.153 0.673
7 Te 0.163 0.847 0.327
8 Te 0.500 0.500 0.000
9 Te 0.163 0.340 0.326
10 Br 0.500 0.000 0.000

Summary:
- E_form (uncorrected): -1.237 eV per atom


Compound: CeThBr2
Source: Alexandria via LeMat-Bulk
Functional: PBE
Structure: relaxed

a = 3.641 Å, b = 3.641 Å, c = 10.858 Å
α = 80.35°, β = 80.35°, γ = 60.00°
Element x y z (fractional)
1 Br 0.097 0.097 0.710
2 Br 0.903 0.903 0.290
3 Ce 0.000 0.000 0.000
4 Th 0.500 0.500 0.500

Summary:
- E_form (uncorrected): -0.879 eV per atom


Compound: CeTiBr2
Source: Alexandria via LeMat-Bulk
Functional: PBE
Structure: relaxed

a = 3.366 Å, b = 3.366 Å, c = 9.956 Å
α = 80.27°, β = 80.27°, γ = 60.00°
Element x y z (fractional)
1 Br 0.105 0.105 0.684
2 Br 0.895 0.895 0.316
3 Ce 0.000 0.000 0.000
4 Ti 0.500 0.500 0.500

Summary:
- E_form (uncorrected): -0.566 eV per atom


Compound: CeTlBr6
Source: Alexandria via LeMat-Bulk
Functional: PBE
Structure: relaxed

a = 7.192 Å, b = 7.191 Å, c = 7.799 Å
α = 62.53°, β = 62.53°, γ = 60.01°
Element x y z (fractional)
1 Ce 0.000 0.000 0.000
2 Tl 0.500 0.500 0.500
3 Br 0.071 0.407 0.757
4 Br 0.765 0.071 0.757
5 Br 0.594 0.235 0.243
6 Br 0.235 0.929 0.243
7 Br 0.929 0.593 0.243
8 Br 0.406 0.765 0.757

Summary:
- E_form (uncorrected): -1.144 eV per atom


Compound: CeTl3Br7
Source: Alexandria via LeMat-Bulk
Functional: PBE
Structure: relaxed

a = 7.682 Å, b = 7.682 Å, c = 8.876 Å
α = 63.85°, β = 63.85°, γ = 82.82°
Element x y z (fractional)
1 Ce 0.950 0.950 0.043
2 Tl 0.792 0.226 0.487
3 Tl 0.509 0.509 0.911
4 Tl 0.226 0.792 0.487
5 Br 0.149 0.149 0.136
6 Br 0.628 0.147 0.219
7 Br 0.959 0.317 0.743
8 Br 0.147 0.628 0.219
9 Br 0.644 0.644 0.389
10 Br 0.317 0.959 0.743
11 Br 0.805 0.805 0.873

Summary:
- E_form (uncorrected): -1.179 eV per atom


Compound: Ce2TlBr
Source: Alexandria via LeMat-Bulk
Functional: PBE
Structure: relaxed

a = 3.582 Å, b = 3.582 Å, c = 10.383 Å
α = 80.07°, β = 80.07°, γ = 60.00°
Element x y z (fractional)
1 Ce 0.078 0.078 0.765
2 Ce 0.255 0.255 0.235
3 Tl 0.500 0.500 0.500
4 Br 0.667 0.667 0.000

Summary:
- E_form (uncorrected): -0.558 eV per atom


Compound: Ce4TlBr12
Source: Alexandria via LeMat-Bulk
Functional: PBE
Structure: relaxed

a = 9.818 Å, b = 9.818 Å, c = 9.818 Å
α = 111.20°, β = 108.60°, γ = 108.63°
Element x y z (fractional)
1 Ce 0.500 0.000 0.000
2 Ce 0.000 0.500 0.000
3 Ce 0.500 0.500 0.500
4 Ce 0.000 0.000 0.500
5 Tl 0.500 0.000 0.500
6 Br 0.752 0.178 0.930
7 Br 0.246 0.568 0.321
8 Br 0.246 0.925 0.679
9 Br 0.499 0.687 0.812
10 Br 0.125 0.313 0.812
11 Br 0.248 0.178 0.425
12 Br 0.752 0.822 0.575
13 Br 0.501 0.313 0.188
14 Br 0.875 0.687 0.188
15 Br 0.754 0.075 0.321
16 Br 0.754 0.432 0.679
17 Br 0.248 0.822 0.070

Summary:
- E_form (uncorrected): -1.654 eV per atom


Compound: CeTlBr5
Source: Alexandria via LeMat-Bulk
Functional: PBE
Structure: relaxed

a = 7.796 Å, b = 7.796 Å, c = 11.374 Å
α = 95.44°, β = 110.38°, γ = 110.72°
Element x y z (fractional)
1 Ce 0.000 0.000 0.000
2 Ce 0.500 0.000 0.500
3 Tl 0.720 0.470 0.250
4 Tl 0.280 0.530 0.750
5 Br 0.800 0.117 0.123
6 Br 0.129 0.784 0.498
7 Br 0.506 0.323 0.623
8 Br 0.325 0.075 0.250
9 Br 0.786 0.631 0.002
10 Br 0.214 0.369 0.998
11 Br 0.675 0.925 0.750
12 Br 0.494 0.677 0.377
13 Br 0.871 0.216 0.502
14 Br 0.200 0.883 0.877

Summary:
- E_form (uncorrected): -1.358 eV per atom


Compound: CeTl3Br6
Source: Alexandria via LeMat-Bulk
Functional: PBE
Structure: relaxed

a = 7.902 Å, b = 8.704 Å, c = 11.483 Å
α = 90.00°, β = 86.51°, γ = 90.00°
Element x y z (fractional)
1 Ce 0.500 0.500 0.500
2 Ce 0.000 0.000 0.000
3 Tl 0.528 0.922 0.771
4 Tl 0.500 0.500 0.000
5 Tl 0.472 0.078 0.229
6 Tl 0.028 0.578 0.271
7 Tl 0.000 0.000 0.500
8 Tl 0.972 0.422 0.729
9 Br 0.692 0.169 0.953
10 Br 0.662 0.221 0.585
11 Br 0.643 0.433 0.264
12 Br 0.357 0.567 0.736
13 Br 0.338 0.779 0.415
14 Br 0.308 0.831 0.047
15 Br 0.192 0.331 0.453
16 Br 0.162 0.279 0.085
17 Br 0.143 0.067 0.764
18 Br 0.857 0.933 0.236
19 Br 0.838 0.721 0.915
20 Br 0.808 0.669 0.547

Summary:
- E_form (uncorrected): -1.256 eV per atom


Compound: Ce2TlBr
Source: Alexandria via LeMat-Bulk
Functional: PBE
Structure: relaxed

a = 3.608 Å, b = 3.608 Å, c = 8.403 Å
α = 90.00°, β = 90.00°, γ = 90.00°
Element x y z (fractional)
1 Tl 0.500 0.500 0.500
2 Br 0.500 0.500 0.000
3 Ce 0.000 0.000 0.757
4 Ce 0.000 0.000 0.243

Summary:
- E_form (uncorrected): -0.596 eV per atom


Compound: Ce2Tl2Br7
Source: Alexandria via LeMat-Bulk
Functional: PBE
Structure: relaxed

a = 7.748 Å, b = 7.284 Å, c = 7.284 Å
α = 80.66°, β = 90.01°, γ = 90.01°
Element x y z (fractional)
1 Ce 0.000 0.719 0.719
2 Ce 0.000 0.281 0.281
3 Tl 0.500 0.788 0.212
4 Tl 0.500 0.212 0.788
5 Br 0.246 0.000 0.500
6 Br 0.754 0.500 0.000
7 Br 0.754 0.000 0.500
8 Br 0.246 0.500 0.000
9 Br 0.000 0.000 0.000
10 Br 0.765 0.500 0.500
11 Br 0.235 0.500 0.500

Summary:
- E_form (uncorrected): -1.411 eV per atom


Number 1: M_tot 5.6 Bohr magnetons per cell. Number 2: M_tot 4.5 Bohr magnetons per cell. Number 3: M_tot 2.1 Bohr magnetons per cell. Number 4: M_tot 0.8 Bohr magnetons per cell. Number 5: M_tot 0.0 Bohr magnetons per cell. Number 6: M_tot 0.0 Bohr magnetons per cell. Number 7: M_tot 2.6 Bohr magnetons per cell. Number 8: M_tot 5.0 Bohr magnetons per cell. Number 9: M_tot 0.0 Bohr magnetons per cell. Number 10: M_tot 2.0 Bohr magnetons per cell. Number 11: M_tot 2.8 Bohr magnetons per cell. Number 12: M_tot 2.9 Bohr magnetons per cell.